(1)
DFT (GGA-PBE) results for crystalline LaTbGdAl at its relaxed geometry.

Cell and atoms, written as CIF:
```
data_LaTbGdAl
_symmetry_space_group_name_H-M 'F -4 3 m'
_symmetry_Int_Tables_number 216
_symmetry_space_group_name_Hall 'F -4 2 3'
_cell_length_a 7.717
_cell_length_b 7.717
_cell_length_c 7.717
_cell_angle_alpha 90.00
_cell_angle_beta 90.00
_cell_angle_gamma 90.00
loop_
_atom_site_label
_atom_site_type_symbol
_atom_site_fract_x
_atom_site_fract_y
_atom_site_fract_z
La1 La 0.000 0.000 0.000
Tb1 Tb 0.000 0.000 0.500
Gd1 Gd 0.250 0.250 0.750
Al1 Al 0.250 0.250 0.250
```

Calculated values
Energy of formation = -0.32 eV per formula unit

=====

(2)
DFT (GGA-PBE) results for crystalline Pm2CuAs3Rh4 at its relaxed geometry.

Cell and atoms, written as CIF:
```
data_Pm2CuAs3Rh4
_symmetry_space_group_name_H-M 'P -4 m 2'
_symmetry_Int_Tables_number 115
_cell_length_a 4.203
_cell_length_b 4.203
_cell_length_c 10.204
_cell_angle_alpha 90.00
_cell_angle_beta 90.00
_cell_angle_gamma 90.00
loop_
_symmetry_equiv_pos_as_xyz
'x,y,z'
'y,-x,-z'
'-x,-y,z'
'-y,x,-z'
'-x,y,z'
'-y,-x,-z'
'x,-y,z'
'y,x,-z'
loop_
_atom_site_label
_atom_site_type_symbol
_atom_site_fract_x
_atom_site_fract_y
_atom_site_fract_z
Pm1 Pm 0.000 0.500 0.241
Cu1 Cu 0.500 0.500 0.000
As1 As 0.000 0.000 0.000
As2 As 0.000 0.500 0.638
Rh1 Rh 0.000 0.000 0.500
Rh2 Rh 0.000 0.500 0.871
Rh3 Rh 0.500 0.500 0.500
```

Calculated values
Energy of formation = -8.45 eV per formula unit